(1)
{
  "formula": "TaFeSbTe2",
  "functional": "GGA-PBE",
  "state": "relaxed",
  "lattice_angstrom": [[5.060, 0.000, 0.000], [0.000, 5.060, 0.000], [0.000, 0.000, 4.715]],
  "species": ["Ta", "Fe", "Sb", "Te", "Te"],
  "frac_coords": [[0.000, 0.000, 0.000], [0.500, 0.500, 0.500], [0.500, 0.500, 0.000], [0.000, 0.500, 0.500], [0.500, 0.000, 0.500]],
  "de_polymorph_mev_per_atom": 91,
  "vol_a3_per_cell": 120.7,
  "e_form_raw_ev_per_atom": 0.970,
  "total_magnetization_mub_per_atom": 0.266,
  "spacegroup": "P4/mmm, No. 123"
}

(2)
{
  "formula": "TaFeSbTe2",
  "functional": "GGA-PBE",
  "state": "relaxed",
  "lattice_angstrom": [[5.363, 0.000, 0.000], [0.000, 5.363, 0.000], [0.000, 0.000, 5.440]],
  "species": ["Ta", "Fe", "Sb", "Te", "Te"],
  "frac_coords": [[0.000, 0.000, 0.000], [0.500, 0.500, 0.500], [0.000, 0.000, 0.500], [0.000, 0.500, 0.000], [0.500, 0.000, 0.000]],
  "de_polymorph_mev_per_atom": 0,
  "vol_a3_per_cell": 156.5,
  "e_form_raw_ev_per_atom": 0.879,
  "total_magnetization_mub_per_atom": 0.797,
  "spacegroup": "P4/mmm, No. 123"
}

(3)
{
  "formula": "Tb4FeSb",
  "functional": "GGA-PBE",
  "state": "relaxed",
  "lattice_angstrom": [[4.369, -6.591, 0.000], [4.369, 6.591, 0.000], [-2.240, 0.000, 5.626]],
  "species": ["Tb", "Tb", "Tb", "Tb", "Tb", "Tb", "Tb", "Tb", "Fe", "Fe", "Sb", "Sb"],
  "frac_coords": [[0.058, 0.728, 0.941], [0.209, 0.354, 0.637], [0.272, 0.942, 0.559], [0.354, 0.209, 0.137], [0.646, 0.791, 0.863], [0.728, 0.058, 0.441], [0.791, 0.646, 0.363], [0.942, 0.272, 0.059], [0.000, 0.000, 0.250], [0.000, 0.000, 0.750], [0.373, 0.627, 0.250], [0.627, 0.373, 0.750]],
  "vol_a3_per_cell": 324.0,
  "e_form_raw_ev_per_atom": -0.384,
  "total_magnetization_mub_per_atom": 0.000,
  "spacegroup": "C2/c, No. 15"
}

Number 1: mass density 8442 kg/m³. Number 2: mass density 6513 kg/m³. Number 3: mass density 8336 kg/m³.